A plane-wave DFT calculation with PBE-GGA was carried out for a relaxed RbPrCd2 crystal.

Cell and atoms, written as POSCAR:
```
RbPrCd2
1.0
-3.227 2.221 -0.770
0.619 -0.458 -3.917
-5.034 -7.295 0.059
Pr Cd Rb
1 2 1
Cartesian
-1.304 0.881 -2.343 Pr
-4.036 -5.849 0.047 Cd
-0.998 -1.446 0.012 Cd
-3.821 -2.766 -2.314 Rb
```

Crystal system ... tetragonal
V ... 35.31 A^3/atom
Magnetic moment ... 0.37 μB per formula unit
Energy of formation from the pure elements ... -0.099 eV per atom
Calculated total energy ... -1.993 eV per atom



A plane-wave DFT calculation with PBE-GGA was carried out for a relaxed Dy8ZnCd2 crystal.

Cell and atoms, written as POSCAR:
```
Dy8ZnCd2
1.0
5.243 0.000 0.000
0.000 6.911 0.167
-2.622 -2.759 8.537
Dy Cd Zn
8 2 1
Cartesian
0.000 -1.645 5.805 Dy
2.622 3.188 5.283 Dy
0.000 1.533 7.056 Dy
2.622 -1.082 8.221 Dy
2.622 5.797 2.900 Dy
2.622 2.619 1.649 Dy
0.000 5.234 0.484 Dy
0.000 0.964 3.422 Dy
0.000 3.952 3.275 Cd
2.622 0.200 5.429 Cd
2.622 0.000 0.000 Zn
```

Crystal system ... monoclinic
V ... 28.34 A^3/atom
Magnetic moment ... 0.00 μB per formula unit
Energy of formation from the pure elements ... -0.125 eV per atom
Calculated total energy ... -3.754 eV per atom



A plane-wave DFT calculation with PBE-GGA was carried out for a relaxed Zn3Au4 crystal.

Cell and atoms, written as POSCAR:
```
Zn3Au4
1.0
2.512 -4.352 0.000
2.512 4.352 0.000
0.000 0.000 5.367
Au Zn
4 3
Cartesian
0.000 0.000 1.360 Au
2.512 1.451 2.683 Au
2.512 -1.451 2.683 Au
0.000 0.000 4.006 Au
1.256 2.176 0.000 Zn
2.512 0.000 0.000 Zn
1.256 -2.176 0.000 Zn
```

Crystal system ... hexagonal
V ... 16.76 A^3/atom
Magnetic moment ... 0.00 μB per formula unit
Energy of formation from the pure elements ... -0.052 eV per atom
Calculated total energy ... -2.471 eV per atom